Compound: TeSeO
Source: Alexandria
Functional: GGA-PBE
Structure: optimized geometry

Cell and atoms, written as extended XYZ:
```
12
Lattice="3.8123 0.0000 0.0000 0.0000 4.6436 0.0000 -3.3623 0.0000 15.6433" Properties=species:S:1:pos:R:3 pbc="T T T"
Se 2.3029 3.7984 2.7673
Se 0.6217 1.4766 10.5889
Te 0.6717 0.5978 1.4656
Se -1.8529 3.7984 12.8760
O 0.2250 3.6570 7.8216
Se -0.1718 1.4766 5.0543
Te -1.0094 2.9196 9.2872
Te -0.2218 0.5978 14.1776
O -1.6812 1.7246 7.8216
O 1.9061 1.3352 0.0000
O 0.0000 4.0464 0.0000
Te 1.4594 2.9196 6.3560
```

---

Compound: TeSeO2
Source: Alexandria
Functional: GGA-PBE
Structure: optimized geometry

Cell and atoms, written as extended XYZ:
```
4
Lattice="1.8389 0.0000 7.2959 -0.9194 1.5925 7.2959 -0.9194 -1.5925 7.2959" Properties=species:S:1:pos:R:3 pbc="T T T"
Se 0.0000 0.0000 0.0000
O 0.0000 0.0000 1.9978
Te 0.0000 0.0000 10.9438
O 0.0000 0.0000 19.8897
```

---

Compound: TeSeO4
Source: Alexandria
Functional: GGA-PBE
Structure: optimized geometry

Cell and atoms, written as extended XYZ:
```
12
Lattice="-0.9241 1.0029 4.2798 5.3373 -3.7859 2.0387 1.6316 6.5925 -3.5496" Properties=species:S:1:pos:R:3 pbc="T T T"
Te 0.1517 1.8722 3.0811
O 1.8098 0.7091 3.7888
O 5.8138 3.1536 2.1545
O 4.2407 1.2029 2.6541
O 1.4754 2.9651 1.6443
O 0.0503 0.8532 1.4499
O 3.8108 -0.7062 4.5545
Se 2.4186 4.3897 1.8249
Te 5.9142 1.9165 -0.4001
O 2.2281 4.5302 -1.7306
O 4.2252 3.1097 -0.9646
Se 3.1778 -0.0908 3.0387
```

---

Taking the records one at a time from the top gives E_tot values of -50.446; -16.740; -63.473 eV per cell.
Taking the records one at a time from the top gives formation energy from raw total energies values of -1.03; -0.20; -5.28 eV per formula unit.
Taking the records one at a time from the top gives energy above the lowest structure with this stoichiometry values of 84; 0; 0 meV/atom.